(1)
Entry from the Open Quantum Materials Database: a relaxed Al2ZnSi2 crystal (PBE).

a = 4.330 Å, b = 4.330 Å, c = 9.832 Å
α = 90.00°, β = 90.00°, γ = 90.00°
Space group I4/mmm (No. 139)
One atom of each set of equivalent atoms:
Al 0.000 0.500 0.250 [4 per cell]
Zn 0.000 0.000 0.000 [2 per cell]
Si 0.000 0.000 0.383 [4 per cell]

Values from the calculation:
- total energy (eV/atom) = -3.727
- crystal system = tetragonal



(2)
Entry from the Open Quantum Materials Database: a relaxed BeZnInCu crystal (PBE).

a = 6.159 Å, b = 6.159 Å, c = 6.159 Å
α = 90.00°, β = 90.00°, γ = 90.00°
Space group F-43m (No. 216)
One atom of each set of equivalent atoms:
Be 0.000 0.000 0.000 [4 per cell]
Zn 0.250 0.250 0.750 [4 per cell]
In 0.250 0.250 0.250 [4 per cell]
Cu 0.000 0.000 0.500 [4 per cell]

Values from the calculation:
- crystal system = cubic
- distance to the lowest polymorph of the same formula (eV/atom) = 0.0000



(3)
Entry from the Open Quantum Materials Database: a relaxed CsSmPbSe3 crystal (PBE).

a = 16.723 Å, b = 4.305 Å, c = 12.486 Å
α = 90.00°, β = 90.00°, γ = 90.00°
Space group Pnma (No. 62)
One atom of each set of equivalent atoms:
Cs 0.235 0.250 0.081 [4 per cell]
Sm 0.002 0.750 0.644 [4 per cell]
Pb 0.041 0.250 0.904 [4 per cell]
Se 0.086 0.750 0.238 [4 per cell]
Se 0.095 0.250 0.545 [4 per cell]
Se 0.130 0.750 0.816 [4 per cell]

Values from the calculation:
- total moment (μB/f.u.) = 0.00
- crystal system = orthorhombic
- distance to the lowest polymorph of the same formula (eV/atom) = 0.0000



(4)
Entry from the Open Quantum Materials Database: a relaxed BeSiTcSb crystal (PBE).

a = 6.249 Å, b = 6.249 Å, c = 6.249 Å
α = 90.00°, β = 90.00°, γ = 90.00°
Space group F-43m (No. 216)
One atom of each set of equivalent atoms:
Be 0.000 0.000 0.000 [4 per cell]
Si 0.000 0.000 0.500 [4 per cell]
Tc 0.250 0.250 0.250 [4 per cell]
Sb 0.250 0.250 0.750 [4 per cell]

Values from the calculation:
- total moment (μB/f.u.) = 0.10
- crystal system = cubic
- distance to the lowest polymorph of the same formula (eV/atom) = 0.1523



(5)
Entry from the Open Quantum Materials Database: a relaxed La2SnPPd2 crystal (PBE).

a = 4.4623 Å, b = 4.4623 Å, c = 8.3019 Å
α = 90.00°, β = 90.00°, γ = 120.00°
Space group P-6m2 (No. 187)
One atom of each set of equivalent atoms:
La 0.0000 0.0000 0.2304 [2 per cell]
Sn 0.6667 0.3333 0.5000 [1 per cell]
P 0.3333 0.6667 0.0000 [1 per cell]
Pd 0.3333 0.6667 0.5000 [1 per cell]
Pd 0.6667 0.3333 0.0000 [1 per cell]

Values from the calculation:
- total energy (eV/atom) = -5.987
- total moment (μB/f.u.) = 0.00
- crystal system = hexagonal



(6)
Entry from the Open Quantum Materials Database: a relaxed Lu3AuC2 crystal (PBE).

a = 3.5470 Å, b = 3.5470 Å, c = 19.7471 Å
α = 90.00°, β = 90.00°, γ = 120.00°
Space group P6_3/mmc (No. 194)
One atom of each set of equivalent atoms:
Lu 0.0000 0.0000 0.0000 [2 per cell]
Lu 0.3333 0.6667 0.1344 [4 per cell]
Au 0.0000 0.0000 0.2500 [2 per cell]
C 0.3333 0.6667 0.5770 [4 per cell]

Values from the calculation:
- total energy (eV/atom) = -6.397
- total moment (μB/f.u.) = 0.00
- crystal system = hexagonal



(7)
Entry from the Open Quantum Materials Database: a relaxed TbNb2CuGe2 crystal (PBE).

a = 3.954 Å, b = 3.954 Å, c = 7.564 Å
α = 90.00°, β = 90.00°, γ = 90.00°
Space group P4mm (No. 99)
One atom of each set of equivalent atoms:
Tb 0.000 0.000 0.000 [1 per cell]
Nb 0.000 0.500 0.372 [2 per cell]
Cu 0.500 0.500 0.658 [1 per cell]
Ge 0.000 0.000 0.628 [1 per cell]
Ge 0.500 0.500 0.112 [1 per cell]

Values from the calculation:
- total energy (eV/atom) = -6.601
- total moment (μB/f.u.) = 0.00
- crystal system = tetragonal



(8)
Entry from the Open Quantum Materials Database: a relaxed HfCdO3 crystal (PBE).

a = 3.489 Å, b = 3.489 Å, c = 5.640 Å
α = 90.00°, β = 90.00°, γ = 90.00°
Space group P4mm (No. 99)
One atom of each set of equivalent atoms:
Hf 0.000 0.000 0.000 [1 per cell]
Cd 0.500 0.500 0.437 [1 per cell]
O 0.000 0.500 0.183 [2 per cell]
O 0.500 0.500 0.807 [1 per cell]

Values from the calculation:
- total energy (eV/atom) = -7.121
- total moment (μB/f.u.) = 0.00
- crystal system = tetragonal



(9)
Entry from the Open Quantum Materials Database: a relaxed NaSmHgSe3 crystal (PBE).

a = 18.504 Å, b = 4.179 Å, c = 8.869 Å
α = 90.00°, β = 104.95°, γ = 90.00°
Space group C2/m (No. 12)
One atom of each set of equivalent atoms:
Na 0.126 0.000 0.086 [4 per cell]
Sm 0.178 0.000 0.603 [4 per cell]
Hg 0.031 0.500 0.726 [4 per cell]
Se 0.000 0.000 0.500 [2 per cell]
Se 0.000 0.500 0.000 [2 per cell]
Se 0.164 0.500 0.367 [4 per cell]
Se 0.182 0.500 0.838 [4 per cell]

Values from the calculation:
- total moment (μB/f.u.) = 0.00
- crystal system = monoclinic
- distance to the lowest polymorph of the same formula (eV/atom) = 0.0473



(10)
Entry from the Open Quantum Materials Database: a relaxed NaFeNiTe3 crystal (PBE).

a = 8.063 Å, b = 3.812 Å, c = 9.756 Å
α = 90.00°, β = 113.14°, γ = 90.00°
Space group P2_1/m (No. 11)
One atom of each set of equivalent atoms:
Na 0.019 0.250 0.285 [2 per cell]
Fe 0.482 0.750 0.387 [2 per cell]
Ni 0.464 0.250 0.163 [2 per cell]
Te 0.227 0.750 0.131 [2 per cell]
Te 0.285 0.750 0.546 [2 per cell]
Te 0.327 0.250 0.870 [2 per cell]

Values from the calculation:
- total energy (eV/atom) = -4.336
- total moment (μB/f.u.) = 2.52
- crystal system = monoclinic



(11)
Entry from the Open Quantum Materials Database: a relaxed KCuNiSe2S crystal (PBE).

a = 3.649 Å, b = 14.197 Å, c = 9.970 Å
α = 90.00°, β = 90.00°, γ = 90.00°
Space group Cmcm (No. 63)
One atom of each set of equivalent atoms:
K 0.000 0.244 0.250 [4 per cell]
Cu 0.000 0.041 0.750 [4 per cell]
Ni 0.000 0.500 0.000 [4 per cell]
Se 0.000 0.111 0.532 [8 per cell]
S 0.000 0.448 0.750 [4 per cell]

Values from the calculation:
- total energy (eV/atom) = -3.982
- total moment (μB/f.u.) = 0.00
- crystal system = orthorhombic



(12)
Entry from the Open Quantum Materials Database: a relaxed ZnCu5Si2 crystal (PBE).

a = 4.124 Å, b = 4.124 Å, c = 5.792 Å
α = 90.00°, β = 90.00°, γ = 90.00°
Space group P4/mmm (No. 123)
One atom of each set of equivalent atoms:
Zn 0.000 0.000 0.000 [1 per cell]
Cu 0.000 0.500 0.253 [4 per cell]
Cu 0.500 0.500 0.500 [1 per cell]
Si 0.000 0.000 0.500 [1 per cell]
Si 0.500 0.500 0.000 [1 per cell]

Values from the calculation:
- total energy (eV/atom) = -3.803
- crystal system = tetragonal



(13)
Entry from the Open Quantum Materials Database: a relaxed Dy2Y2ErLu2Ni2Te2 crystal (PBE).

a = 3.825 Å, b = 15.458 Å, c = 9.603 Å
α = 90.00°, β = 90.00°, γ = 90.00°
Space group Imm2 (No. 44)
One atom of each set of equivalent atoms:
Dy 0.000 0.186 0.000 [4 per cell]
Y 0.000 0.369 0.799 [4 per cell]
Er 0.000 0.500 0.378 [2 per cell]
Lu 0.000 0.146 0.652 [4 per cell]
Ni 0.000 0.265 0.305 [4 per cell]
Te 0.000 0.000 0.142 [2 per cell]
Te 0.000 0.500 0.046 [2 per cell]

Values from the calculation:
- total moment (μB/f.u.) = 0.01
- crystal system = orthorhombic
- distance to the lowest polymorph of the same formula (eV/atom) = 0.0147



(14)
Entry from the Open Quantum Materials Database: a relaxed SmGdCu2B2N2 crystal (PBE).

a = 3.567 Å, b = 3.567 Å, c = 7.748 Å
α = 90.00°, β = 90.00°, γ = 90.00°
Space group P4mm (No. 99)
One atom of each set of equivalent atoms:
Sm 0.000 0.000 0.000 [1 per cell]
Gd 0.500 0.500 0.333 [1 per cell]
Cu 0.000 0.500 0.667 [2 per cell]
B 0.000 0.000 0.496 [1 per cell]
B 0.500 0.500 0.840 [1 per cell]
N 0.000 0.000 0.310 [1 per cell]
N 0.500 0.500 0.026 [1 per cell]

Values from the calculation:
- total energy (eV/atom) = -6.701
- total moment (μB/f.u.) = 0.00
- crystal system = tetragonal



(15)
Entry from the Open Quantum Materials Database: a relaxed UAlB crystal (PBE).

a = 6.199 Å, b = 6.199 Å, c = 6.199 Å
α = 90.00°, β = 90.00°, γ = 90.00°
Space group F-43m (No. 216)
One atom of each set of equivalent atoms:
U 0.000 0.000 0.000 [4 per cell]
Al 0.250 0.250 0.750 [4 per cell]
B 0.250 0.250 0.250 [4 per cell]

Values from the calculation:
- total moment (μB/f.u.) = 1.99
- crystal system = cubic
- distance to the lowest polymorph of the same formula (eV/atom) = 0.8998



(16)
Entry from the Open Quantum Materials Database: a relaxed MgCoHgSe3 crystal (PBE).

a = 3.617 Å, b = 13.335 Å, c = 10.905 Å
α = 90.00°, β = 90.00°, γ = 90.00°
Space group Cmcm (No. 63)
One atom of each set of equivalent atoms:
Mg 0.000 0.064 0.250 [4 per cell]
Co 0.000 0.000 0.000 [4 per cell]
Hg 0.000 0.389 0.250 [4 per cell]
Se 0.000 0.301 0.750 [4 per cell]
Se 0.000 0.387 0.511 [8 per cell]

Values from the calculation:
- total moment (μB/f.u.) = 0.50
- crystal system = orthorhombic
- distance to the lowest polymorph of the same formula (eV/atom) = 0.0542



(17)
Entry from the Open Quantum Materials Database: a relaxed CsLaHf crystal (PBE).

a = 7.523 Å, b = 7.523 Å, c = 7.523 Å
α = 90.00°, β = 90.00°, γ = 90.00°
Space group F-43m (No. 216)
One atom of each set of equivalent atoms:
Cs 0.000 0.000 0.000 [4 per cell]
La 0.250 0.250 0.250 [4 per cell]
Hf 0.250 0.250 0.750 [4 per cell]

Values from the calculation:
- total moment (μB/f.u.) = 0.00
- crystal system = cubic
- distance to the lowest polymorph of the same formula (eV/atom) = 0.1076



(18)
Entry from the Open Quantum Materials Database: a relaxed LaGdNO crystal (PBE).

a = 4.093 Å, b = 7.182 Å, c = 5.154 Å
α = 90.00°, β = 90.00°, γ = 90.00°
Space group Pmc2_1 (No. 26)
One atom of each set of equivalent atoms:
La 0.000 0.162 0.000 [2 per cell]
Gd 0.500 0.332 0.501 [2 per cell]
N 0.000 0.179 0.503 [2 per cell]
O 0.500 0.349 0.993 [2 per cell]

Values from the calculation:
- total moment (μB/f.u.) = 0.03
- crystal system = orthorhombic
- distance to the lowest polymorph of the same formula (eV/atom) = 0.0497



(19)
Entry from the Open Quantum Materials Database: a relaxed YZr2Cd2 crystal (PBE).

a = 4.409 Å, b = 4.409 Å, c = 13.200 Å
α = 90.00°, β = 90.00°, γ = 90.00°
Space group I4/mmm (No. 139)
One atom of each set of equivalent atoms:
Y 0.000 0.000 0.000 [2 per cell]
Zr 0.000 0.000 0.398 [4 per cell]
Cd 0.000 0.500 0.250 [4 per cell]

Values from the calculation:
- total moment (μB/f.u.) = 1.20
- crystal system = tetragonal
- E_form (meV per atom) = 268



(20)
Entry from the Open Quantum Materials Database: a relaxed Y2Co3Si5 crystal (PBE).

a = 10.763 Å, b = 11.404 Å, c = 5.498 Å
α = 90.00°, β = 118.66°, γ = 90.00°
Space group C2/c (No. 15)
One atom of each set of equivalent atoms:
Y 0.234 0.136 0.237 [8 per cell]
Co 0.000 0.497 0.750 [4 per cell]
Co 0.099 0.138 0.625 [8 per cell]
Si 0.000 0.011 0.250 [4 per cell]
Si 0.000 0.271 0.250 [4 per cell]
Si 0.000 0.286 0.750 [4 per cell]
Si 0.163 0.401 0.164 [8 per cell]

Values from the calculation:
- total moment (μB/f.u.) = 0.08
- crystal system = monoclinic
- distance to the lowest polymorph of the same formula (eV/atom) = 0.0000



(21)
Entry from the Open Quantum Materials Database: a relaxed RbAuC2S2N2 crystal (PBE).

a = 13.161 Å, b = 6.222 Å, c = 17.797 Å
α = 90.00°, β = 108.52°, γ = 90.00°
Space group C2/c (No. 15)
One atom of each set of equivalent atoms:
Rb 0.177 0.014 0.061 [8 per cell]
Au 0.000 0.166 0.250 [4 per cell]
Au 0.000 0.336 0.750 [4 per cell]
C 0.020 0.435 0.413 [8 per cell]
C 0.228 0.055 0.356 [8 per cell]
S 0.022 0.311 0.885 [8 per cell]
S 0.184 0.179 0.270 [8 per cell]
N 0.020 0.257 0.436 [8 per cell]
N 0.237 0.476 0.080 [8 per cell]

Values from the calculation:
- total energy (eV/atom) = -6.034
- crystal system = monoclinic



(22)
Entry from the Open Quantum Materials Database: a relaxed NaAgSnTe3 crystal (PBE).

a = 4.239 Å, b = 13.764 Å, c = 11.855 Å
α = 90.00°, β = 90.00°, γ = 90.00°
Space group Cmcm (No. 63)
One atom of each set of equivalent atoms:
Na 0.000 0.242 0.250 [4 per cell]
Ag 0.000 0.077 0.750 [4 per cell]
Sn 0.000 0.500 0.000 [4 per cell]
Te 0.000 0.157 0.532 [8 per cell]
Te 0.000 0.439 0.750 [4 per cell]

Values from the calculation:
- crystal system = orthorhombic
- distance to the lowest polymorph of the same formula (eV/atom) = 0.0126